No. 1
Density functional theory data (SCAN) for a crystal of BeNbAl relaxed with PBEsol.

Properties
DOS at the Fermi energy: 0.058 states/eV/atom
Total energy: -15.47 eV per atom

abc: 4.7902 4.8511 4.8511
angles: 61.73 60.41 60.41
With the nearest neighbours (Å) after each atom.
Fractional coordinates of all 6 atoms:
Nb 0.8750 0.3750 0.8750  6 Be 2.82-2.89, 6 Al 2.83-2.84, 4 Nb 2.94-3.02
Nb 0.1250 0.6250 0.1250  6 Be 2.82-2.89, 6 Al 2.83-2.84, 4 Nb 2.94-3.02
Be 0.5000 0.0000 0.5000  2 Be 2.40, 4 Al 2.43
Al 0.5000 0.5000 0.5000  4 Be 2.43, 2 Al 2.49
Be 0.0000 0.0000 0.5000  2 Be 2.40, 4 Al 2.43
Al 0.5000 0.0000 0.0000  4 Be 2.43, 2 Al 2.49



No. 2
Density functional theory data (SCAN) for a crystal of Sc3CrAs relaxed with PBEsol.

Properties
DOS at the Fermi energy: 1.179 states/eV/atom
Total energy: -16.41 eV per atom

abc: 4.9800 4.9800 4.9800
angles: 90.00 90.00 90.00
With the nearest neighbours (Å) after each atom.
Fractional coordinates of all 5 atoms:
Sc 0.5000 0.0000 0.0000  2 As 2.49
Sc 0.0000 0.0000 0.5000  2 As 2.49
As 0.0000 0.0000 0.0000  6 Sc 2.49
Cr 0.5000 0.5000 0.5000  12 Sc 3.52
Sc 0.0000 0.5000 0.0000  2 As 2.49



No. 3
Density functional theory data (SCAN) for a crystal of LiSbPt2 relaxed with PBEsol.

Properties
DOS at the Fermi energy: 0.373 states/eV/atom
Formation energy (no corrections): -0.590 eV per atom

abc: 3.8764 4.0072 4.0072
angles: 90.00 90.00 90.00
With the nearest neighbours (Å) after each atom.
Fractional coordinates of all 4 atoms:
Sb 0.5000 0.0000 0.0000  8 Pt 2.79, 4 Li 2.83
Pt 0.0000 0.0000 0.5000  4 Sb 2.79, 4 Li 2.79, 4 Pt 2.83
Pt 0.0000 0.5000 0.0000  4 Sb 2.79, 4 Li 2.79, 4 Pt 2.83
Li 0.5000 0.5000 0.5000  8 Pt 2.79, 4 Sb 2.83



No. 4
Density functional theory data (SCAN) for a crystal of MgMoAsBr2 relaxed with PBEsol.

Properties
DOS at the Fermi energy: 0.389 states/eV/atom
Formation energy (no corrections): 0.126 eV per atom

abc: 4.8776 5.1204 5.1204
angles: 90.00 90.00 90.00
With the nearest neighbours (Å) after each atom.
Fractional coordinates of all 5 atoms:
Mg 0.5000 0.5000 0.5000  8 Br 3.54, 4 As 3.62
As 0.5000 0.0000 0.0000  2 Mo 2.44
Br 0.0000 0.5000 0.0000  2 Mo 2.56
Mo 0.0000 0.0000 0.0000  2 As 2.44, 4 Br 2.56
Br 0.0000 0.0000 0.5000  2 Mo 2.56



No. 5
Density functional theory data (SCAN) for a crystal of InIrSe2 relaxed with PBEsol.

Properties
DOS at the Fermi energy: 0.641 states/eV/atom
Formation energy (no corrections): -0.054 eV per atom

abc: 3.4549 4.0673 6.1531
angles: 99.64 90.00 90.00
With the nearest neighbours (Å) after each atom.
Fractional coordinates of all 4 atoms:
Se 0.5000 0.7952 0.2937  1 Ir 2.48, 2 In 2.74
Ir 0.5000 0.0544 0.6890  3 Se 2.42-2.48
Se 0.0000 0.1488 0.9674  2 Ir 2.42
In 0.0000 0.5016 0.5499  2 Se 2.74, 4 Ir 2.75-2.85



No. 6
Density functional theory data (SCAN) for a crystal of Te2Os2Pb relaxed with PBEsol.

Properties
DOS at the Fermi energy: 0.502 states/eV/atom
Formation energy (no corrections): 0.490 eV per atom

abc: 4.2450 4.2450 7.0325
angles: 107.57 107.57 90.00
With the nearest neighbours (Å) after each atom.
Fractional coordinates of all 5 atoms:
Pb 0.0000 0.0000 0.0000  8 Te 3.45, 8 Os 3.82
Te 0.6341 0.6341 0.2681  4 Os 2.58
Os 0.2500 0.7500 0.5000  4 Te 2.58
Os 0.7500 0.2500 0.5000  4 Te 2.58
Te 0.3659 0.3659 0.7319  4 Os 2.58



No. 7
Density functional theory data (SCAN) for a crystal of MnNiBr2 relaxed with PBEsol.

Properties
DOS at the Fermi energy: 0.464 states/eV/atom
Formation energy (no corrections): 0.057 eV per atom

abc: 3.4753 3.6749 5.8720
angles: 90.00 90.00 90.00
With the nearest neighbours (Å) after each atom.
Fractional coordinates of all 4 atoms:
Ni 0.0000 0.5000 0.5000  4 Br 2.53
Mn 0.5000 0.5000 0.0000  4 Br 2.53
Br 0.5000 0.0000 0.5000  4 Ni 2.53
Br 0.0000 0.0000 0.0000  4 Mn 2.53



No. 8
Density functional theory data (SCAN) for a crystal of BaSeIN2 relaxed with PBEsol.

Properties
DOS at the Fermi energy: 0.613 states/eV/atom
Formation energy (no corrections): 1.238 eV per atom

abc: 5.0252 5.0252 6.5294
angles: 90.00 90.00 90.00
With the nearest neighbours (Å) after each atom.
Fractional coordinates of all 5 atoms:
N 0.5000 0.0000 0.0000  2 Ba 2.51
I 0.5000 0.5000 0.5000  4 Se 3.55
Ba 0.0000 0.0000 0.0000  4 N 2.51
N 0.0000 0.5000 0.0000  2 Ba 2.51
Se 0.0000 0.0000 0.5000  2 Ba 3.26, 4 I 3.55



No. 9
Density functional theory data (SCAN) for a crystal of MoRh2Br relaxed with PBEsol.

Properties
DOS at the Fermi energy: 0.921 states/eV/atom
Formation energy (no corrections): 0.482 eV per atom

abc: 2.9173 2.9172 7.0396
angles: 90.00 90.00 90.00
With the nearest neighbours (Å) after each atom.
Fractional coordinates of all 4 atoms:
Rh 0.0000 0.0000 0.9859  4 Mo 2.63, 8 Rh 2.78-2.92
Mo 0.5000 0.5000 0.7544  4 Rh 2.63, 4 Br 2.69, 4 Mo 2.92
Rh 0.5000 0.5000 0.2512  4 Br 2.75, 8 Rh 2.78-2.92
Br 0.0000 0.0000 0.5085  4 Mo 2.69, 4 Rh 2.75, 4 Br 2.92



No. 10
Density functional theory data (SCAN) for a crystal of Zr3Al3Ni3H2 relaxed with PBEsol.

Properties
DOS at the Fermi energy: 0.371 states/eV/atom
Total energy: -16.23 eV per atom

abc: 3.6176 6.7759 6.7759
angles: 120.00 90.00 90.00
With the nearest neighbours (Å) after each atom.
Fractional coordinates of all 11 atoms:
Al 0.0000 0.0000 0.2489  4 Ni 2.47-2.59
H 0.5000 0.6667 0.3333  2 Ni 1.81
Zr 0.5000 0.0000 0.5947  2 H 2.06
H 0.5000 0.3333 0.6667  2 Ni 1.81
Al 0.0000 0.7511 0.7511  4 Ni 2.47-2.59
Ni 0.0000 0.6667 0.3333  2 H 1.81
Zr 0.5000 0.5947 0.0000  2 H 2.06
Al 0.0000 0.2489 0.0000  4 Ni 2.47-2.59
Ni 0.5000 0.0000 0.0000  6 Al 2.47, 3 Zr 2.75
Zr 0.5000 0.4053 0.4053  2 H 2.06
Ni 0.0000 0.3333 0.6667  2 H 1.81



No. 11
Density functional theory data (SCAN) for a crystal of AgBRu3 relaxed with PBEsol.

Properties
DOS at the Fermi energy: 0.780 states/eV/atom
Total energy: -28.27 eV per atom

abc: 4.0463 4.0463 4.0463
angles: 90.00 90.00 90.00
With the nearest neighbours (Å) after each atom.
Fractional coordinates of all 5 atoms:
B 0.0000 0.0000 0.0000  6 Ru 2.02
Ru 0.0000 0.5000 0.0000  2 B 2.02
Ru 0.5000 0.0000 0.0000  2 B 2.02
Ru 0.0000 0.0000 0.5000  2 B 2.02
Ag 0.5000 0.5000 0.5000  12 Ru 2.86



No. 12
Density functional theory data (SCAN) for a crystal of Ta3SiHg relaxed with PBEsol.

Properties
DOS at the Fermi energy: 0.951 states/eV/atom
Formation energy (no corrections): 2.377 eV per atom

abc: 4.9363 4.9363 4.9363
angles: 90.00 90.00 90.00
With the nearest neighbours (Å) after each atom.
Fractional coordinates of all 5 atoms:
Ta 0.5000 0.0000 0.0000  2 Hg 2.47
Si 0.5000 0.5000 0.5000  12 Ta 3.49
Ta 0.0000 0.0000 0.5000  2 Hg 2.47
Hg 0.0000 0.0000 0.0000  6 Ta 2.47
Ta 0.0000 0.5000 0.0000  2 Hg 2.47



Calculated density, record by record: 5.27 3.52 13.84 4.61 9.06 12.21 6.05 3.74 10.58 6.15 10.57 10.65 Mg/m³